DyHo2Pt2: relaxed, GGA-PBE.

Cell: 3.761 4.618 13.928 Å, 90.00 97.76 90.00°
Positions (direct):
1 Dy 0.364 0.250 0.728
2 Dy 0.636 0.750 0.272
3 Ho 0.269 0.750 0.538
4 Ho 0.949 0.750 0.898
5 Ho 0.051 0.250 0.102
6 Ho 0.731 0.250 0.462
7 Pt 0.467 0.250 0.934
8 Pt 0.156 0.250 0.312
9 Pt 0.533 0.750 0.066
10 Pt 0.844 0.750 0.688

## Properties
The value obtained for the relative energy among the computed polymorphs is 63 meV/atom. The calculation puts the density of states at the Fermi level at 0.774 states/eV per atom. For the magnetization, the calculation gives 0.000 μB/cell. As for the space-group type: Cmcm, No. 63.